Model A:
IrRuBr2: relaxed, GGA-PBE.

Cell lengths 6.6074, 6.6074, 6.6074 Å; angles 90.00, 90.00, 90.00 degrees
Closest atoms and distances in Å follow each position.
Space group F-43m (No. 216)
Inequivalent atoms, fractional coordinates:
1 Ir 0.0000 0.0000 0.0000 x4  4 Br 2.86, 4 Ru 2.86
2 Ru 0.2500 0.2500 0.2500 x4  4 Br 2.86, 4 Ir 2.86
3 Br 0.0000 0.0000 0.5000 x4  4 Ru 2.86, 4 Br 2.86
4 Br 0.2500 0.2500 0.7500 x4  4 Br 2.86, 4 Ir 2.86

## Properties
- total moment (μB/f.u.) = 0.96
- N(E_F) (states/eV/cell) = 22.75

=====

Model B:
IrRuBr2: relaxed, GGA-PBE.

Cell lengths 3.2364, 3.2364, 6.5663 Å; angles 90.00, 90.00, 90.00 degrees
Closest atoms and distances in Å follow each position.
Space group P4/mmm (No. 123)
Inequivalent atoms, fractional coordinates:
1 Ir 0.0000 0.0000 0.0000 x1  8 Br 2.85
2 Ru 0.0000 0.0000 0.5000 x1  8 Br 2.79
3 Br 0.5000 0.5000 0.2579 x2  4 Ru 2.79, 4 Ir 2.85

## Properties
- total moment (μB/f.u.) = 1.41
- N(E_F) (states/eV/cell) = 5.22

=====

Model C:
IrRuBr2: relaxed, GGA-PBE.

Cell lengths 2.9699, 4.3527, 5.5914 Å; angles 90.00, 90.00, 90.00 degrees
Closest atoms and distances in Å follow each position.
Space group Pmmm (No. 47)
Inequivalent atoms, fractional coordinates:
1 Ir 0.0000 0.0000 0.0000 x1  4 Br 2.63
2 Ru 0.5000 0.0000 0.5000 x1  4 Br 2.63
3 Br 0.0000 0.5000 0.5000 x1  4 Ru 2.63
4 Br 0.5000 0.5000 0.0000 x1  4 Ir 2.63

## Properties
- total moment (μB/f.u.) = 0.00
- N(E_F) (states/eV/cell) = 4.67

=====

Model D:
IrRuBr2: relaxed, GGA-PBE.

Cell lengths 6.5098, 6.5098, 6.5098 Å; angles 90.00, 90.00, 90.00 degrees
Closest atoms and distances in Å follow each position.
Space group Fm-3m (No. 225)
Inequivalent atoms, fractional coordinates:
1 Ir 0.0000 0.0000 0.0000 x4  8 Br 2.82
2 Ru 0.0000 0.0000 0.5000 x4  8 Br 2.82
3 Br 0.2500 0.2500 0.2500 x8  4 Ru 2.82, 4 Ir 2.82

## Properties
- total moment (μB/f.u.) = 1.38
- N(E_F) (states/eV/cell) = 13.62

=====

Which structure is most stable? model C, by 176 meV per atom over the runner-up.

=====

Model A:
IrRuBr2: relaxed, GGA-PBE.

Cell lengths 2.8687, 4.3804, 7.5095 Å; angles 90.00, 90.00, 90.00 degrees
Closest atoms and distances in Å follow each position.
Space group Pmm2 (No. 25)
Inequivalent atoms, fractional coordinates:
1 Ir 0.0000 0.0000 0.0000 x1  1 Br 2.42, 4 Ru 2.65
2 Ru 0.5000 0.5000 0.0577 x1  1 Br 2.41, 4 Ir 2.65
3 Br 0.0000 0.0000 0.3219 x1  1 Ir 2.42
4 Br 0.5000 0.5000 0.7372 x1  1 Ru 2.41

## Properties
- total moment (μB/f.u.) = 0.00
- N(E_F) (states/eV/cell) = 5.77

=====

Model B:
IrRuBr2: relaxed, GGA-PBE.

Cell lengths 6.4365, 3.7147, 8.4700 Å; angles 90.00, 103.69, 90.00 degrees
Closest atoms and distances in Å follow each position.
Space group Cm (No. 8)
Inequivalent atoms, fractional coordinates:
1 Ir 0.0000 0.0000 0.0000 x2  3 Ru 2.44, 3 Br 2.73
2 Ru 0.1226 0.5000 0.8583 x2  3 Ir 2.44, 3 Br 2.72
3 Br 0.2259 0.0000 0.6550 x2  3 Ru 2.72
4 Br 0.3965 0.0000 0.2051 x2  3 Ir 2.73

## Properties
- total moment (μB/f.u.) = 1.60
- N(E_F) (states/eV/cell) = 4.83

=====

Which structure is most stable? model B, by 454 meV per atom over the runner-up.

=====

Model A:
Ir2RuBr: relaxed, GGA-PBE.

Cell lengths 2.8367, 2.8367, 8.0523 Å; angles 90.00, 90.00, 90.00 degrees
Closest atoms and distances in Å follow each position.
Space group P4mm (No. 99)
Inequivalent atoms, fractional coordinates:
1 Ir 0.0000 0.0000 0.0000 x1  8 Ir 2.71-2.84
2 Ir 0.5000 0.5000 0.2270 x1  4 Ru 2.69, 8 Ir 2.71-2.84
3 Ru 0.0000 0.0000 0.4502 x1  4 Ir 2.69, 4 Br 2.75, 4 Ru 2.84
4 Br 0.5000 0.5000 0.6837 x1  4 Ru 2.75, 4 Br 2.84

## Properties
- total moment (μB/f.u.) = 0.00
- N(E_F) (states/eV/cell) = 4.63

=====

Model B:
Ir2RuBr: relaxed, GGA-PBE.

Cell lengths 6.2760, 6.2760, 8.7279 Å; angles 90.00, 90.00, 90.00 degrees
Closest atoms and distances in Å follow each position.
Space group I-42d (No. 122)
Inequivalent atoms, fractional coordinates:
1 Ir 0.2234 0.7500 0.1250 x8  2 Ru 2.37, 2 Br 2.58
2 Ru 0.0000 0.0000 0.0000 x4  4 Ir 2.37
3 Br 0.0000 0.0000 0.5000 x4  4 Ir 2.58

## Properties
- total moment (μB/f.u.) = 0.00
- N(E_F) (states/eV/cell) = 5.62

=====

Which structure is most stable? model A, by 452 meV per atom over the runner-up.

=====

Model A:
Ir2RuBr: relaxed, GGA-PBE.

Cell lengths 8.6321, 2.8308, 6.6534 Å; angles 90.00, 95.81, 90.00 degrees
Closest atoms and distances in Å follow each position.
Space group Cm (No. 8)
Inequivalent atoms, fractional coordinates:
1 Ir 0.0000 0.0000 0.0000 x2  3 Ru 2.60-2.62, 5 Ir 2.61-2.83
2 Ir 0.2383 0.5000 0.1643 x2  1 Br 2.52, 2 Ru 2.60, 3 Ir 2.61-2.64
3 Ru 0.2658 0.0000 0.8427 x2  5 Ir 2.60-2.62, 2 Br 2.62, 2 Ru 2.83
4 Br 0.1688 0.5000 0.5228 x2  1 Ir 2.52, 2 Ru 2.62

## Properties
- total moment (μB/f.u.) = 0.00
- N(E_F) (states/eV/cell) = 10.10

=====

Model B:
Ir2RuBr: relaxed, GGA-PBE.

Cell lengths 2.8053, 3.5979, 7.0557 Å; angles 90.00, 90.00, 90.00 degrees
Closest atoms and distances in Å follow each position.
Space group Pmm2 (No. 25)
Inequivalent atoms, fractional coordinates:
1 Ir 0.0000 0.0000 0.0000 x1  6 Ir 2.64-2.81, 1 Ru 2.65
2 Ir 0.5000 0.5000 0.1881 x1  4 Ru 2.64, 6 Ir 2.64-2.81
3 Ru 0.0000 0.0000 0.3752 x1  5 Ir 2.64-2.65, 2 Ru 2.81
4 Br 0.5000 0.5000 0.6628 x1  2 Br 2.81, 4 Ru 3.05

## Properties
- total moment (μB/f.u.) = 0.00
- N(E_F) (states/eV/cell) = 4.16

=====

Model C:
Ir2RuBr: relaxed, GGA-PBE.

Cell lengths 2.8107, 2.8107, 29.5300 Å; angles 90.00, 90.00, 120.00 degrees
Closest atoms and distances in Å follow each position.
Space group R3m (No. 160, hexagonal axes)
Inequivalent atoms, fractional coordinates:
1 Ir 0.0000 0.0000 0.0000 x3  9 Ir 2.74-2.81
2 Ir 0.0000 0.0000 0.2587 x3  3 Ru 2.63, 9 Ir 2.74-2.81
3 Ru 0.0000 0.0000 0.5218 x3  3 Ir 2.63, 3 Br 2.76, 6 Ru 2.81
4 Br 0.0000 0.0000 0.7797 x3  3 Ru 2.76, 6 Br 2.81

## Properties
- total moment (μB/f.u.) = 0.00
- N(E_F) (states/eV/cell) = 12.99

=====

Which structure is most stable? model C, by 6 meV per atom over the runner-up.

=====

Model A:
IrRu2Br: relaxed, GGA-PBE.

Cell lengths 2.8134, 2.8134, 28.8529 Å; angles 90.00, 90.00, 120.00 degrees
Closest atoms and distances in Å follow each position.
Space group R3m (No. 160, hexagonal axes)
Inequivalent atoms, fractional coordinates:
1 Ir 0.0000 0.0000 0.0000 x3  3 Ru 2.69, 6 Ir 2.81
2 Ru 0.0000 0.0000 0.4789 x3  9 Ru 2.62-2.81, 3 Br 2.78
3 Ru 0.0000 0.0000 0.7408 x3  9 Ru 2.62-2.81, 3 Ir 2.69
4 Br 0.0000 0.0000 0.2238 x3  3 Ru 2.78, 6 Br 2.81

## Properties
- total moment (μB/f.u.) = 0.04
- N(E_F) (states/eV/cell) = 17.85

=====

Model B:
IrRu2Br: relaxed, GGA-PBE.

Cell lengths 6.3160, 6.3160, 6.3160 Å; angles 90.00, 90.00, 90.00 degrees
Closest atoms and distances in Å follow each position.
Space group F-43m (No. 216)
Inequivalent atoms, fractional coordinates:
1 Ir 0.0000 0.0000 0.0000 x4  4 Br 2.73, 4 Ru 2.73
2 Ru 0.0000 0.0000 0.5000 x4  4 Ru 2.73, 4 Br 2.73
3 Ru 0.2500 0.2500 0.7500 x4  4 Ru 2.73, 4 Ir 2.73
4 Br 0.2500 0.2500 0.2500 x4  4 Ru 2.73, 4 Ir 2.73

## Properties
- total moment (μB/f.u.) = 2.34
- N(E_F) (states/eV/cell) = 12.54

=====

Model C:
IrRu2Br: relaxed, GGA-PBE.

Cell lengths 8.5581, 2.8467, 7.7789 Å; angles 90.00, 121.86, 90.00 degrees
Closest atoms and distances in Å follow each position.
Space group C2/m (No. 12)
Inequivalent atoms, fractional coordinates:
1 Ir 0.0000 0.0000 0.0000 x2  6 Ru 2.60, 2 Ir 2.85
2 Ru 0.2016 0.0000 0.8407 x4  4 Ru 2.59-2.85, 3 Ir 2.60, 2 Br 2.68
3 Br 0.0000 0.5000 0.5000 x2  4 Ru 2.68, 2 Br 2.85

## Properties
- total moment (μB/f.u.) = 0.00
- N(E_F) (states/eV/cell) = 10.64

=====

Which structure is most stable? model A, by 24 meV per atom over the runner-up.